FeReOs2 (PBE-GGA, optimized geometry); space group = No. 160; raw total energy = -10.69 eV/atom; DOS(E_F) = 0.920 states/eV/atom; total magnetization = 1.19 μB per formula unit; distance to the lowest polymorph of the same formula = 60.6 meV per atom
1.0
1.357 0.783 8.688
-1.357 0.783 8.688
0.000 -1.566 8.688
Fe Re Os
1 1 2
direct
0.000 0.000 0.000
0.252 0.252 0.252
0.499 0.499 0.499
0.746 0.746 0.746